## Rb4BeBr6 (PBE-GGA)

Data for a relaxed structure of Rb4BeBr6.

a = 6.998 Å, b = 8.569 Å, c = 17.224 Å
α = 78.87°, β = 78.28°, γ = 65.90°
Sites, in units of the cell vectors:
Rb (0.449, 0.989, 0.611)
Rb (0.952, 0.489, 0.111)
Rb (0.906, 0.259, 0.430)
Rb (0.405, 0.759, 0.930)
Rb (0.086, 0.637, 0.689)
Rb (0.589, 0.137, 0.189)
Rb (0.738, 0.226, 0.796)
Rb (0.240, 0.726, 0.296)
Be (0.656, 0.779, 0.413)
Be (0.153, 0.279, 0.913)
Br (0.409, 0.562, 0.121)
Br (0.907, 0.062, 0.621)
Br (0.436, 0.660, 0.478)
Br (0.425, 0.160, 0.978)
Br (0.518, 0.063, 0.407)
Br (0.013, 0.563, 0.907)
Br (0.935, 0.158, 0.978)
Br (0.928, 0.658, 0.478)
Br (0.058, 0.146, 0.243)
Br (0.554, 0.646, 0.743)
Br (0.251, 0.207, 0.789)
Br (0.753, 0.707, 0.289)

Calculated values
uncorrected formation energy: -1.541 eV/atom
space-group type: Cc
calculated density: 3.01 g/cm3